Record 1
Compound: Ca2MgC
Source: Alexandria
Functional: GGA-PBE
Structure: optimized geometry

Cell and atoms, written as extended XYZ:
```
4
Lattice="2.423 2.035 3.816 -1.073 -1.382 4.638 3.249 -2.699 2.596" Properties=species:S:1:pos:R:3 pbc="T T T"
Mg 2.300 -1.023 5.525
Ca 3.450 -1.534 8.288
Ca 1.150 -0.511 2.763
C 0.000 0.000 0.000
```

Output
- Crystal system: cubic
- Space-group type: Fm-3m, No. 225
- Formation energy from the elements: 0.792 eV/atom
- ΔE to the lowest computed polymorph: 236 meV per atom
- Total DFT energy (no corrections): -2.914 eV per atom



Record 2
Compound: CaTbBi
Source: Alexandria
Functional: GGA-PBE
Structure: optimized geometry

Cell and atoms, written as extended XYZ:
```
3
Lattice="4.322 0.000 0.000 0.000 5.186 0.000 0.000 -2.593 4.491" Properties=species:S:1:pos:R:3 pbc="T T T"
Tb 0.381 0.000 0.000
Bi 1.271 0.000 2.994
Ca 2.670 2.593 1.497
```

Output
- Crystal system: trigonal
- Space-group type: P3m1, No. 156
- Formation energy from the elements: -0.327 eV/atom
- Total DFT energy (no corrections): -3.832 eV per atom



Record 3
Compound: RbTl2BiMo
Source: Alexandria
Functional: GGA-PBE
Structure: optimized geometry

Cell and atoms, written as extended XYZ:
```
5
Lattice="5.562 0.000 0.000 0.000 5.400 0.000 0.000 0.000 5.562" Properties=species:S:1:pos:R:3 pbc="T T T"
Rb 2.781 2.700 2.781
Tl 0.000 0.000 2.781
Bi 0.000 2.700 0.000
Tl 2.781 0.000 0.000
Mo 0.000 0.000 0.000
```

Output
- Crystal system: tetragonal
- Space-group type: P4/mmm, No. 123
- Formation energy from the elements: 0.192 eV/atom
- Total DFT energy (no corrections): -3.891 eV per atom